1.
This record from Alexandria describes a relaxed Tl2CrSb crystal. The functional is GGA-PBE.

POSCAR file:
```
Tl2CrSb
1.0
-6.5045 -3.2658 -4.4011
4.6759 0.2556 -7.1003
0.0933 -4.2719 -5.1868
Tl Sb Cr
4 2 2
Direct
0.6089 0.1250 0.2500
0.8750 0.8589 0.7500
0.1411 0.6250 0.2500
0.3750 0.3911 0.7500
0.7500 0.2500 0.5000
0.0000 0.0000 0.0000
0.5000 0.5000 0.0000
0.2500 0.7500 0.5000
```

Computed properties:
Its density of states at the Fermi level is 2.5 states/eV/f.u. The value obtained for the total energy is -4.16 eV per atom. Its total magnetic moment is 4.12 μB/f.u. The value obtained for the relative energy among the computed polymorphs is 0.217 eV per atom. The value obtained for the mass density is 8.9 g/cm³. Its space-group type is No. 122.

---

2.
This record from Alexandria describes a relaxed Tl2CrSb crystal. The functional is GGA-PBE.

POSCAR file:
```
Tl2CrSb
1.0
-0.2427 2.0502 -7.7901
-0.8126 -1.2596 -7.9184
-4.1956 0.7573 -0.8991
Tl Sb Cr
2 1 1
Direct
0.4287 0.4287 0.5717
0.0713 0.0713 0.9283
0.2500 0.2500 0.2500
0.7500 0.7500 0.7500
```

Computed properties:
Its density of states at the Fermi level is 1.9 states/eV/f.u. The value obtained for the total energy is -4.36 eV per atom. Its total magnetic moment is 3.66 μB/f.u. The value obtained for the relative energy among the computed polymorphs is 0.020 eV per atom. The value obtained for the mass density is 8.7 g/cm³. Its space-group type is No. 12.

---

3.
This record from Alexandria describes a relaxed TlCrSb crystal. The functional is GGA-PBE.

POSCAR file:
```
TlCrSb
1.0
4.5614 0.0000 0.0000
0.0000 4.5614 0.0000
0.0000 0.0000 6.4032
Cr Sb Tl
2 2 2
Direct
0.0000 0.0000 0.5000
0.5000 0.5000 0.5000
0.5000 0.0000 0.7129
0.0000 0.5000 0.2871
0.5000 0.0000 0.1878
0.0000 0.5000 0.8122
```

Computed properties:
Its density of states at the Fermi level is 2.6 states/eV/f.u. The value obtained for the total energy is -4.89 eV per atom. Its total magnetic moment is 0.00 μB/f.u. The value obtained for the relative energy among the computed polymorphs is 0.205 eV per atom. The value obtained for the mass density is 9.4 g/cm³. Its space-group type is No. 129.

---

4.
This record from Alexandria describes a relaxed TlCrSb2 crystal. The functional is GGA-PBE.

POSCAR file:
```
TlCrSb2
1.0
-3.8941 4.0260 3.3302
-5.6691 2.0057 -2.5101
3.9337 -4.7130 2.1854
Cr Sb Tl
1 2 1
Direct
0.2500 0.7500 0.5000
0.0443 0.0443 0.0000
0.4557 0.4557 0.0000
0.7500 0.2500 0.5000
```

Computed properties:
Its density of states at the Fermi level is 2.8 states/eV/f.u. The value obtained for the total energy is -4.75 eV per atom. Its total magnetic moment is 3.71 μB/f.u. The value obtained for the relative energy among the computed polymorphs is 0.165 eV per atom. The value obtained for the mass density is 8.2 g/cm³. Its space-group type is No. 71.

---

5.
This record from Alexandria describes a relaxed TlCrSb crystal. The functional is GGA-PBE.

POSCAR file:
```
TlCrSb
1.0
6.7083 -0.0129 0.0138
5.8234 3.3301 0.0142
0.8849 0.2338 3.3347
Cr Tl Sb
1 1 1
Direct
0.9799 0.9799 0.0201
0.6488 0.6488 0.3512
0.3712 0.3712 0.6288
```

Computed properties:
Its density of states at the Fermi level is 2.0 states/eV/f.u. The value obtained for the total energy is -5.01 eV per atom. Its total magnetic moment is 3.51 μB/f.u. The value obtained for the relative energy among the computed polymorphs is 0.086 eV per atom. The value obtained for the mass density is 8.4 g/cm³. Its space-group type is No. 107.

---

6.
This record from Alexandria describes a relaxed TlCr2Sb crystal. The functional is GGA-PBE.

POSCAR file:
```
TlCr2Sb
1.0
-2.9919 0.4359 3.8628
-0.7853 4.4055 2.0092
-4.3615 2.1861 -0.5102
Sb Cr Tl
1 2 1
Direct
0.0000 0.0000 0.0000
0.7500 0.7500 0.7500
0.2500 0.2500 0.2500
0.5000 0.5000 0.5000
```

Computed properties:
Its density of states at the Fermi level is 2.9 states/eV/f.u. The value obtained for the total energy is -5.87 eV per atom. Its total magnetic moment is 7.96 μB/f.u. The value obtained for the relative energy among the computed polymorphs is 0.239 eV per atom. The value obtained for the mass density is 8.6 g/cm³. Its space-group type is No. 225.

---

7.
This record from Alexandria describes a relaxed TlCrSb2 crystal. The functional is GGA-PBE.

POSCAR file:
```
TlCrSb2
1.0
6.2900 0.0000 0.0000
0.0000 6.2900 0.0000
3.1450 3.1450 6.7721
Cr Sb Tl
2 4 2
Direct
0.5000 0.5000 0.0000
0.2500 0.7500 0.5000
0.3750 0.4255 0.7500
0.8750 0.8245 0.7500
0.5745 0.1250 0.2500
0.1755 0.6250 0.2500
0.0000 0.0000 0.0000
0.7500 0.2500 0.5000
```

Computed properties:
Its density of states at the Fermi level is 1.8 states/eV/f.u. The value obtained for the total energy is -4.69 eV per atom. Its total magnetic moment is 2.99 μB/f.u. The value obtained for the relative energy among the computed polymorphs is 0.221 eV per atom. The value obtained for the mass density is 6.2 g/cm³. Its space-group type is No. 122.

---

8.
This record from Alexandria describes a relaxed TlCr2Sb crystal. The functional is GGA-PBE.

POSCAR file:
```
TlCr2Sb
1.0
4.0607 0.0000 0.0000
0.0000 4.2009 0.0002
0.0000 2.1007 4.9541
Cr Tl Sb
2 1 1
Direct
0.0000 0.1997 0.9750
0.5000 0.0440 0.2872
0.5000 0.7608 0.8533
0.0000 0.4954 0.3845
```

Computed properties:
Its density of states at the Fermi level is 1.5 states/eV/f.u. The value obtained for the total energy is -6.00 eV per atom. Its total magnetic moment is 0.01 μB/f.u. The value obtained for the relative energy among the computed polymorphs is 0.116 eV per atom. The value obtained for the mass density is 8.5 g/cm³. Its space-group type is No. 38.

---

9.
This record from Alexandria describes a relaxed Tl2CrSb crystal. The functional is GGA-PBE.

POSCAR file:
```
Tl2CrSb
1.0
3.3452 0.3772 0.0000
-0.4168 3.3405 0.0000
0.0000 0.0000 8.9102
Tl Cr Sb
2 1 1
Direct
0.0000 0.0000 0.4663
0.0000 0.0000 0.0337
0.5000 0.5000 0.2500
0.5000 0.5000 0.7500
```

Computed properties:
Its density of states at the Fermi level is 3.2 states/eV/f.u. The value obtained for the total energy is -4.15 eV per atom. Its total magnetic moment is 4.41 μB/f.u. The value obtained for the relative energy among the computed polymorphs is 0.232 eV per atom. The value obtained for the mass density is 9.6 g/cm³. Its space-group type is No. 65.

---

10.
This record from Alexandria describes a relaxed TlCrSb2 crystal. The functional is GGA-PBE.

POSCAR file:
```
TlCrSb2
1.0
-2.1852 -2.0108 -1.3449
1.5090 -2.5495 1.3600
-5.5373 0.8468 7.7311
Sb Tl Cr
2 1 1
Direct
0.0000 0.0000 0.9403
0.5000 0.5000 0.2626
0.0000 0.0000 0.5325
0.5000 0.5000 0.7646
```

Computed properties:
Its density of states at the Fermi level is 2.1 states/eV/f.u. The value obtained for the total energy is -4.71 eV per atom. Its total magnetic moment is 3.86 μB/f.u. The value obtained for the relative energy among the computed polymorphs is 0.208 eV per atom. The value obtained for the mass density is 8.2 g/cm³. Its space-group type is No. 99.

---

11.
This record from Alexandria describes a relaxed Tl2CrSb crystal. The functional is GGA-PBE.

POSCAR file:
```
Tl2CrSb
1.0
-4.4156 2.2247 2.1241
1.3460 -1.1916 4.0461
2.1430 3.8513 0.4213
Cr Tl Sb
1 2 1
Direct
0.5000 0.5000 0.0000
0.0000 0.0000 0.0000
0.0000 0.5000 0.5000
0.5000 0.0000 0.5000
```

Computed properties:
Its density of states at the Fermi level is 1.3 states/eV/f.u. The value obtained for the total energy is -4.26 eV per atom. Its total magnetic moment is 4.44 μB/f.u. The value obtained for the relative energy among the computed polymorphs is 0.123 eV per atom. The value obtained for the mass density is 9.2 g/cm³. Its space-group type is No. 123.

---

12.
This record from Alexandria describes a relaxed Tl2CrSb crystal. The functional is GGA-PBE.

POSCAR file:
```
Tl2CrSb
1.0
-3.0910 -0.6583 -1.0186
1.2474 -3.1895 -1.7241
-1.3737 -4.2891 6.9407
Tl Cr Sb
2 1 1
Direct
0.0000 0.0000 0.9915
0.5000 0.5000 0.2898
0.0000 0.0000 0.5328
0.5000 0.5000 0.6859
```

Computed properties:
Its density of states at the Fermi level is 2.3 states/eV/f.u. The value obtained for the total energy is -4.38 eV per atom. Its total magnetic moment is 3.71 μB/f.u. The value obtained for the relative energy among the computed polymorphs is 0.000 eV per atom. The value obtained for the mass density is 9.2 g/cm³. Its space-group type is No. 25.